1.
The following is a PBE calculation of crystalline URh2 at its relaxed geometry, from Alexandria via LeMat-Bulk.

extended XYZ file:
```
3
Lattice="3.445 0.000 0.000 0.000 3.445 0.000 -1.722 -1.722 4.485" Properties=species:S:1:pos:R:3 pbc="T T T"
Rh 1.722 1.722 1.436
Rh 0.000 0.000 3.049
U 0.000 0.000 0.000
```

Output
Its crystal system is tetragonal. Its formation energy is -0.393 eV per atom.



2.
The following is a PBE calculation of crystalline Tb3Nd2Hg3 at its relaxed geometry, from Alexandria via LeMat-Bulk.

extended XYZ file:
```
8
Lattice="-2.221 -1.119 -2.857 1.232 -5.097 1.039 -8.230 2.435 7.956" Properties=species:S:1:pos:R:3 pbc="T T T"
Hg 0.616 -2.549 0.519
Nd -4.082 -2.911 4.313
Tb -2.561 -3.268 0.760
Tb -1.111 -0.560 -1.429
Nd -5.138 -0.871 1.824
Hg -1.991 -0.154 1.608
Hg -7.228 -3.628 4.529
Tb -6.658 -0.514 5.377
```

Output
Its crystal system is orthorhombic. Its formation energy is -0.349 eV per atom.



Please write out number 1 again, unchanged.
The following is a PBE calculation of crystalline URh2 at its relaxed geometry, from Alexandria via LeMat-Bulk.

extended XYZ file:
```
3
Lattice="3.445 0.000 0.000 0.000 3.445 0.000 -1.722 -1.722 4.485" Properties=species:S:1:pos:R:3 pbc="T T T"
Rh 1.722 1.722 1.436
Rh 0.000 0.000 3.049
U 0.000 0.000 0.000
```

Output
Its crystal system is tetragonal. Its formation energy is -0.393 eV per atom.